Material: La2PtCl
Method: DFT, GGA-PBE
State: optimized geometry

* density: 8.50 g cm⁻³
* energy relative to the elements, uncorrected: -4.52 eV per formula unit
* energy above the most stable polymorph in this dataset: 314 meV per atom

a = 5.198 Å, b = 5.198 Å, c = 5.198 Å
α = 60.00°, β = 60.00°, γ = 60.00°
Last column: magnetic moment on the atom in μB.
Atoms (fractional coordinates):
Cl1 0.000 0.000 0.000  0.01
Pt1 0.500 0.500 0.500  0.06
La1 0.250 0.250 0.250  0.22
La2 0.750 0.750 0.750  0.22